Computed, not measured: a crystal of InHg2Au relaxed with PBEsol at the SCAN level of DFT.

Properties
* calculated total energy: -59.77 eV per atom
* total magnetization: 0.00 μB/cell
* energy of formation from the pure elements: -0.049 eV per atom

Unit cell a=3.5474 b=3.5474 c=24.7832 alpha=90.00 beta=90.00 gamma=120.00
With the nearest neighbours (Å) after each atom.
Space group R3m (No. 160, hexagonal axes)
Symmetry-distinct sites (fractional):
In 0.0000 0.0000 0.0000 [3 per cell]  3 Au 2.77, 3 Hg 3.03
Hg 0.0000 0.0000 0.2430 [3 per cell]  3 Hg 2.99, 3 In 3.03
Hg 0.0000 0.0000 0.4885 [3 per cell]  3 Au 2.85, 3 Hg 2.99
Au 0.0000 0.0000 0.7420 [3 per cell]  3 In 2.77, 3 Hg 2.85

***

Computed, not measured: a crystal of InHgAu2 relaxed with PBEsol at the SCAN level of DFT.

Properties
* calculated total energy: -59.96 eV per atom
* total magnetization: 0.00 μB/cell
* energy of formation from the pure elements: 0.003 eV per atom

Unit cell a=4.2169 b=4.2169 c=8.5841 alpha=90.00 beta=90.00 gamma=90.00
With the nearest neighbours (Å) after each atom.
Space group I-4m2 (No. 119)
Symmetry-distinct sites (fractional):
In 0.0000 0.0000 0.0000 [2 per cell]  8 Au 2.98-3.01, 4 Hg 3.01
Hg 0.0000 0.5000 0.7500 [2 per cell]  8 Au 2.98-3.01, 4 In 3.01
Au 0.0000 0.0000 0.5000 [2 per cell]  4 In 2.98, 4 Hg 3.01, 4 Au 3.01
Au 0.0000 0.5000 0.2500 [2 per cell]  4 Hg 2.98, 4 In 3.01, 4 Au 3.01

***

Computed, not measured: a crystal of InHgAu2 relaxed with PBEsol at the SCAN level of DFT.

Properties
* calculated total energy: -60.02 eV per atom
* total magnetization: 0.00 μB/cell
* energy of formation from the pure elements: -0.053 eV per atom

Unit cell a=4.8229 b=5.4897 c=5.9278 alpha=90.00 beta=90.00 gamma=90.00
With the nearest neighbours (Å) after each atom.
Space group Cmmm (No. 65)
Symmetry-distinct sites (fractional):
In 0.0000 0.0000 0.0000 [2 per cell]  8 Au 2.82-3.11, 2 Hg 2.96
Hg 0.0000 0.0000 0.5000 [2 per cell]  8 Au 2.84-3.13, 2 In 2.96
Au 0.0000 0.5000 0.2460 [4 per cell]  4 In 2.82-3.11, 4 Hg 2.84-3.13, 2 Au 2.92-3.01

***

Computed, not measured: a crystal of InHgAu2 relaxed with PBEsol at the SCAN level of DFT.

Properties
* calculated total energy: -60.01 eV per atom
* total magnetization: 0.00 μB/cell
* energy of formation from the pure elements: -0.044 eV per atom

Unit cell a=9.4275 b=3.7426 c=4.5943 alpha=90.00 beta=105.33 gamma=90.00
With the nearest neighbours (Å) after each atom.
Space group Cm (No. 8)
Symmetry-distinct sites (fractional):
In 0.0000 0.0000 0.0000 [2 per cell]  7 Au 2.84-3.03, 3 Hg 2.93-3.11
Hg 0.2382 0.0000 0.6992 [2 per cell]  7 Au 2.82-2.99, 3 In 2.93-3.11
Au 0.2424 0.5000 0.2095 [2 per cell]  3 In 2.84-2.91, 4 Hg 2.93-2.99, 3 Au 2.96-2.99
Au 0.4894 0.0000 0.4769 [2 per cell]  3 Hg 2.82-2.96, 4 In 2.90-3.03, 3 Au 2.96-2.99

***

Computed, not measured: a crystal of InHg2Au relaxed with PBEsol at the SCAN level of DFT.

Properties
* calculated total energy: -59.71 eV per atom
* total magnetization: 0.00 μB/cell
* energy of formation from the pure elements: 0.010 eV per atom

Unit cell a=3.3944 b=3.3944 c=7.5389 alpha=90.00 beta=90.00 gamma=90.00
With the nearest neighbours (Å) after each atom.
Space group P4mm (No. 99)
Symmetry-distinct sites (fractional):
In 0.0000 0.0000 0.0000 [1 per cell]  4 Au 2.91, 4 Hg 3.22
Hg 0.0000 0.0000 0.4502 [1 per cell]  4 Au 2.97, 4 Hg 3.13
Hg 0.5000 0.5000 0.7159 [1 per cell]  8 Hg 3.13-3.39, 4 In 3.22
Au 0.5000 0.5000 0.2187 [1 per cell]  4 In 2.91, 4 Hg 2.97

***

Computed, not measured: a crystal of InHg2Au relaxed with PBEsol at the SCAN level of DFT.

Properties
* calculated total energy: -59.76 eV per atom
* total magnetization: 0.00 μB/cell
* energy of formation from the pure elements: -0.042 eV per atom

Unit cell a=11.0705 b=3.7421 c=4.3590 alpha=90.00 beta=91.13 gamma=90.00
With the nearest neighbours (Å) after each atom.
Space group C2/m (No. 12)
Symmetry-distinct sites (fractional):
In 0.0000 0.0000 0.0000 [2 per cell]  4 Au 2.87, 2 Hg 3.09
Hg 0.2367 0.5000 0.7497 [4 per cell]  1 Au 2.82, 4 Hg 2.89, 1 In 3.09
Au 0.0000 0.5000 0.5000 [2 per cell]  2 Hg 2.82, 4 In 2.87

***

Computed, not measured: a crystal of InHgAu2 relaxed with PBEsol at the SCAN level of DFT.

Properties
* calculated total energy: -60.03 eV per atom
* total magnetization: 0.00 μB/cell
* energy of formation from the pure elements: -0.065 eV per atom

Unit cell a=3.7642 b=3.7642 c=5.5787 alpha=90.00 beta=90.00 gamma=90.00
With the nearest neighbours (Å) after each atom.
Space group P4mm (No. 99)
Symmetry-distinct sites (fractional):
In 0.0000 0.0000 0.0000 [1 per cell]  6 Au 2.74-2.92
Hg 0.5000 0.5000 0.7087 [1 per cell]  6 Au 2.75-2.92
Au 0.0000 0.0000 0.4917 [1 per cell]  2 In 2.74-2.84, 4 Hg 2.92
Au 0.5000 0.5000 0.2151 [1 per cell]  2 Hg 2.75-2.82, 4 In 2.92, 4 Au 3.08

***

Computed, not measured: a crystal of InHgAu2 relaxed with PBEsol at the SCAN level of DFT.

Properties
* calculated total energy: -60.07 eV per atom
* total magnetization: 0.00 μB/cell
* energy of formation from the pure elements: -0.100 eV per atom

Unit cell a=3.4437 b=4.4559 c=5.4612 alpha=90.00 beta=106.75 gamma=90.00
With the nearest neighbours (Å) after each atom.
Space group Pm (No. 6)
Symmetry-distinct sites (fractional):
In 0.0000 0.0000 0.0000 [1 per cell]  7 Au 2.77-3.04
Hg 0.2916 0.5000 0.6061 [1 per cell]  7 Au 2.78-3.04
Au 0.5566 0.5000 0.1370 [1 per cell]  3 Hg 2.78-3.04, 2 Au 2.83, 4 In 2.89-2.92
Au 0.7333 0.0000 0.4709 [1 per cell]  3 In 2.77-3.04, 2 Au 2.83, 4 Hg 2.90-2.91